<w>
## MgZrCdNi (PBE)

Data for a relaxed MgZrCdNi crystal.

Values from the calculation:
Total magnetic moment (μB per cell): 0.01
Crystal system: cubic
V (A^3/atom): 18.030

Lattice parameters (Å, degrees): 6.607 6.607 6.607 90.00 90.00 90.00
Space group F-43m (No. 216)
One atom of each set of equivalent atoms:
Mg 0.000 0.000 0.000 x4
Zr 0.000 0.000 0.500 x4
Cd 0.250 0.250 0.750 x4
Ni 0.250 0.250 0.250 x4

=====

<x>
## MgZrCdNi (PBE)

Data for a relaxed MgZrCdNi crystal.

Values from the calculation:
Total magnetic moment (μB per cell): 0.01
Crystal system: cubic
V (A^3/atom): 17.584

Lattice parameters (Å, degrees): 6.553 6.553 6.553 90.00 90.00 90.00
Space group F-43m (No. 216)
One atom of each set of equivalent atoms:
Mg 0.000 0.000 0.000 x4
Zr 0.250 0.250 0.750 x4
Cd 0.250 0.250 0.250 x4
Ni 0.000 0.000 0.500 x4

=====

<y>
## MgZrCdNi (PBE)

Data for a relaxed MgZrCdNi crystal.

Values from the calculation:
Total magnetic moment (μB per cell): 0.04
Crystal system: cubic
V (A^3/atom): 17.768

Lattice parameters (Å, degrees): 6.575 6.575 6.575 90.00 90.00 90.00
Space group F-43m (No. 216)
One atom of each set of equivalent atoms:
Mg 0.000 0.000 0.000 x4
Zr 0.250 0.250 0.750 x4
Cd 0.000 0.000 0.500 x4
Ni 0.250 0.250 0.250 x4

=====

Most favorable structure: <w>. The second most favorable one is 0.019 eV/atom above it.

=====

<w>
## MgZnCdS3 (PBE)

Data for a relaxed MgZnCdS3 crystal.

Values from the calculation:
Crystal system: orthorhombic
V (A^3/atom): 20.119

Lattice parameters (Å, degrees): 3.626 12.218 10.899 90.00 90.00 90.00
Space group Cmcm (No. 63)
One atom of each set of equivalent atoms:
Mg 0.000 0.229 0.250 x4
Zn 0.000 0.487 0.750 x4
Cd 0.000 0.000 0.000 x4
S 0.000 0.111 0.750 x4
S 0.000 0.361 0.590 x8

=====

<x>
## MgZnCdS3 (PBE)

Data for a relaxed MgZnCdS3 crystal.

Values from the calculation:
Crystal system: orthorhombic
V (A^3/atom): 22.270

Lattice parameters (Å, degrees): 3.551 13.219 11.386 90.00 90.00 90.00
Space group Cmcm (No. 63)
One atom of each set of equivalent atoms:
Mg 0.000 0.198 0.250 x4
Zn 0.000 0.000 0.000 x4
Cd 0.000 0.466 0.250 x4
S 0.000 0.169 0.750 x4
S 0.000 0.398 0.590 x8

=====

Most favorable structure: <w>. The second most favorable one is 0.104 eV/atom above it.